Record 1
Here is a relaxed RbZn3F crystal from the Alexandria database. Energies are from GGA-PBE.

For the uncorrected formation energy, the calculation gives -5.07 kcal/mol of atoms. Its raw total energy is -1.5519 eV/atom.

The structure belongs to space group Pm-3m (No. 221); the cell edges are 5.242, 5.242 and 5.242 Å and the angles 90.00°, 90.00° and 90.00°. The inequivalent atoms are Rb at (0.000, 0.000, 0.000), Zn at (0.000, 0.500, 0.500) and F at (0.500, 0.500, 0.500).



Record 2
Here is a relaxed Rb2ZrZnF6 crystal from the Alexandria database. Energies are from GGA-PBE.

For the uncorrected formation energy, the calculation gives -65.67 kcal/mol of atoms. Its raw total energy is -5.1464 eV/atom.

The structure belongs to space group Fm-3m (No. 225); the cell edges are 9.783, 9.783 and 9.783 Å and the angles 90.00°, 90.00° and 90.00°. The inequivalent atoms are Rb at (0.250, 0.250, 0.250), Zr at (0.000, 0.000, 0.000), Zn at (0.000, 0.000, 0.500) and F at (0.000, 0.000, 0.208).



Record 3
Here is a relaxed Rb2ZrF7 crystal from the Alexandria database. Energies are from GGA-PBE.

For the uncorrected formation energy, the calculation gives -66.59 kcal/mol of atoms. Its raw total energy is -5.2457 eV/atom.

The structure belongs to space group I4/mmm (No. 139); the cell edges are 6.440, 6.440 and 9.705 Å and the angles 90.00°, 90.00° and 90.00°. The inequivalent atoms are Rb at (0.000, 0.500, 0.250), Zr at (0.000, 0.000, 0.000), F at (0.000, 0.000, 0.210), F at (0.000, 0.000, 0.500) and F at (0.223, 0.223, 0.000).



Record 4
Here is a relaxed RbZrF3 crystal from the Alexandria database. Energies are from GGA-PBE.

For the uncorrected formation energy, the calculation gives -59.25 kcal/mol of atoms. Its raw total energy is -5.5951 eV/atom.

The structure belongs to space group Pm-3m (No. 221); the cell edges are 4.515, 4.515 and 4.515 Å and the angles 90.00°, 90.00° and 90.00°. The inequivalent atoms are Rb at (0.000, 0.000, 0.000), Zr at (0.500, 0.500, 0.500) and F at (0.000, 0.500, 0.500).



Record 5
Here is a relaxed RbZr2F8 crystal from the Alexandria database. Energies are from GGA-PBE.

For the uncorrected formation energy, the calculation gives -79.12 kcal/mol of atoms. Its raw total energy is -6.4342 eV/atom.

The structure belongs to space group C2/m (No. 12); the cell edges are 6.832, 10.467 and 4.260 Å and the angles 90.00°, 98.51° and 90.00°. The inequivalent atoms are Rb at (0.000, 0.000, 0.000), Zr at (0.000, 0.322, 0.500), F at (0.000, 0.275, 0.000), F at (0.088, 0.500, 0.756) and F at (0.189, 0.148, 0.560).



Record 6
Here is a relaxed Rb3ZrF crystal from the Alexandria database. Energies are from GGA-PBE.

For the uncorrected formation energy, the calculation gives -4.92 kcal/mol of atoms. Its raw total energy is -2.8778 eV/atom.

The structure belongs to space group Pm-3m (No. 221); the cell edges are 5.888, 5.888 and 5.888 Å and the angles 90.00°, 90.00° and 90.00°. The inequivalent atoms are Rb at (0.000, 0.000, 0.500), Zr at (0.500, 0.500, 0.500) and F at (0.000, 0.000, 0.000).



Record 7
Here is a relaxed RbZr2F crystal from the Alexandria database. Energies are from GGA-PBE.

For the uncorrected formation energy, the calculation gives -0.82 kcal/mol of atoms. Its raw total energy is -5.0191 eV/atom.

The structure belongs to space group I-42d (No. 122); the cell edges are 7.067, 7.067 and 9.980 Å and the angles 90.00°, 90.00° and 90.00°. The inequivalent atoms are Rb at (0.000, 0.000, 0.000), Zr at (0.003, 0.750, 0.625) and F at (0.000, 0.000, 0.500).



Record 8
Here is a relaxed RbZrF3 crystal from the Alexandria database. Energies are from GGA-PBE.

For the uncorrected formation energy, the calculation gives -25.58 kcal/mol of atoms. Its raw total energy is -4.1352 eV/atom.

The structure belongs to space group Pm-3m (No. 221); the cell edges are 4.686, 4.686 and 4.686 Å and the angles 90.00°, 90.00° and 90.00°. The inequivalent atoms are Rb at (0.000, 0.000, 0.000), Zr at (0.500, 0.500, 0.500) and F at (0.000, 0.000, 0.500).



Record 9
Here is a relaxed Rb3ZrF8 crystal from the Alexandria database. Energies are from GGA-PBE.

For the uncorrected formation energy, the calculation gives -68.73 kcal/mol of atoms. Its raw total energy is -5.1821 eV/atom.

The structure belongs to space group I-42m (No. 121); the cell edges are 6.860, 6.860 and 9.739 Å and the angles 90.00°, 90.00° and 90.00°. The inequivalent atoms are Rb at (0.000, 0.000, 0.000), Rb at (0.000, 0.500, 0.250), Zr at (0.000, 0.000, 0.500), F at (0.122, 0.122, 0.687) and F at (0.212, 0.212, 0.449).



Record 10
Here is a relaxed Rb2ZrF4 crystal from the Alexandria database. Energies are from GGA-PBE.

For the uncorrected formation energy, the calculation gives -61.41 kcal/mol of atoms. Its raw total energy is -5.2298 eV/atom.

The structure belongs to space group I4/mmm (No. 139); the cell edges are 4.309, 4.309 and 20.620 Å and the angles 90.00°, 90.00° and 90.00°. The inequivalent atoms are Rb at (0.000, 0.000, 0.147), Zr at (0.000, 0.000, 0.500), F at (0.000, 0.000, 0.398) and F at (0.000, 0.500, 0.000).



Record 11
Here is a relaxed Rb2ZrF2 crystal from the Alexandria database. Energies are from GGA-PBE.

For the uncorrected formation energy, the calculation gives -25.78 kcal/mol of atoms. Its raw total energy is -3.9632 eV/atom.

The structure belongs to space group P4/mbm (No. 127); the cell edges are 8.148, 8.148 and 3.629 Å and the angles 90.00°, 90.00° and 90.00°. The inequivalent atoms are Rb at (0.142, 0.358, 0.000), Zr at (0.000, 0.000, 0.500) and F at (0.172, 0.672, 0.500).



Record 12
Here is a relaxed RbZr2F crystal from the Alexandria database. Energies are from GGA-PBE.

For the uncorrected formation energy, the calculation gives 21.70 kcal/mol of atoms. Its raw total energy is -4.0429 eV/atom.

The structure belongs to space group Fm-3m (No. 225); the cell edges are 7.197, 7.197 and 7.197 Å and the angles 90.00°, 90.00° and 90.00°. The inequivalent atoms are Rb at (0.000, 0.000, 0.000), Zr at (0.250, 0.250, 0.250) and F at (0.000, 0.000, 0.500).



Record 13
Here is a relaxed Rb2ZrF2 crystal from the Alexandria database. Energies are from GGA-PBE.

For the uncorrected formation energy, the calculation gives -18.90 kcal/mol of atoms. Its raw total energy is -3.6647 eV/atom.

The structure belongs to space group I4/mmm (No. 139); the cell edges are 5.062, 5.062 and 15.130 Å and the angles 90.00°, 90.00° and 90.00°. The inequivalent atoms are Rb at (0.000, 0.500, 0.250), Zr at (0.000, 0.000, 0.000) and F at (0.000, 0.000, 0.309).



Record 14
Here is a relaxed ReF12 crystal from the Alexandria database. Energies are from GGA-PBE.

For the uncorrected formation energy, the calculation gives -14.24 kcal/mol of atoms. Its raw total energy is -3.3025 eV/atom.

The structure belongs to space group Im-3 (No. 204); the cell edges are 6.874, 6.874 and 6.874 Å and the angles 90.00°, 90.00° and 90.00°. The inequivalent atoms are Re at (0.000, 0.000, 0.000) and F at (0.000, 0.268, 0.147).



Record 15
Here is a relaxed Re4F crystal from the Alexandria database. Energies are from GGA-PBE.

For the uncorrected formation energy, the calculation gives 29.80 kcal/mol of atoms. Its raw total energy is -9.0404 eV/atom.

The structure belongs to space group Pm-3m (No. 221); the cell edges are 4.162, 4.162 and 4.162 Å and the angles 90.00°, 90.00° and 90.00°. The inequivalent atoms are Re at (0.000, 0.000, 0.000), Re at (0.000, 0.500, 0.500) and F at (0.500, 0.500, 0.500).



Record 16
Here is a relaxed ReF7 crystal from the Alexandria database. Energies are from GGA-PBE.

For the uncorrected formation energy, the calculation gives -46.86 kcal/mol of atoms. Its raw total energy is -5.2255 eV/atom.

The structure belongs to space group P-1 (No. 2); the cell edges are 5.327, 5.332 and 9.526 Å and the angles 91.56°, 92.79° and 114.55°. The inequivalent atoms are Re at (0.143, 0.369, 0.252), F at (0.053, 0.770, 0.586), F at (0.093, 0.450, 0.722), F at (0.150, 0.909, 0.850), F at (0.212, 0.632, 0.113), F at (0.289, 0.135, 0.336), F at (0.362, 0.297, 0.120) and F at (0.424, 0.649, 0.359).



Record 17
Here is a relaxed ReRh3F crystal from the Alexandria database. Energies are from GGA-PBE.

For the uncorrected formation energy, the calculation gives 27.03 kcal/mol of atoms. Its raw total energy is -6.1026 eV/atom.

The structure belongs to space group Pm-3m (No. 221); the cell edges are 4.709, 4.709 and 4.709 Å and the angles 90.00°, 90.00° and 90.00°. The inequivalent atoms are Re at (0.000, 0.000, 0.000), Rh at (0.000, 0.000, 0.500) and F at (0.500, 0.500, 0.500).



Record 18
Here is a relaxed Re2Rh2F crystal from the Alexandria database. Energies are from GGA-PBE.

For the uncorrected formation energy, the calculation gives 7.32 kcal/mol of atoms. Its raw total energy is -7.9767 eV/atom.

The structure belongs to space group I4/mmm (No. 139); the cell edges are 3.562, 3.562 and 13.230 Å and the angles 90.00°, 90.00° and 90.00°. The inequivalent atoms are Re at (0.000, 0.500, 0.250), Rh at (0.000, 0.000, 0.106) and F at (0.000, 0.000, 0.500).



Record 19
Here is a relaxed Re2Rh2F crystal from the Alexandria database. Energies are from GGA-PBE.

For the uncorrected formation energy, the calculation gives 5.61 kcal/mol of atoms. Its raw total energy is -8.0510 eV/atom.

The structure belongs to space group P4/mbm (No. 127); the cell edges are 7.611, 7.611 and 2.716 Å and the angles 90.00°, 90.00° and 90.00°. The inequivalent atoms are Re at (0.121, 0.379, 0.000), Rh at (0.167, 0.667, 0.500) and F at (0.000, 0.000, 0.000).



Record 20
Here is a relaxed Re2Rh2F crystal from the Alexandria database. Energies are from GGA-PBE.

For the uncorrected formation energy, the calculation gives 12.37 kcal/mol of atoms. Its raw total energy is -7.7575 eV/atom.

The structure belongs to space group I4/mmm (No. 139); the cell edges are 4.934, 4.934 and 6.940 Å and the angles 90.00°, 90.00° and 90.00°. The inequivalent atoms are Re at (0.000, 0.000, 0.162), Rh at (0.000, 0.500, 0.250) and F at (0.000, 0.000, 0.500).



Record 21
Here is a relaxed Re3RhF crystal from the Alexandria database. Energies are from GGA-PBE.

For the uncorrected formation energy, the calculation gives 55.04 kcal/mol of atoms. Its raw total energy is -6.9267 eV/atom.

The structure belongs to space group Pm-3m (No. 221); the cell edges are 4.727, 4.727 and 4.727 Å and the angles 90.00°, 90.00° and 90.00°. The inequivalent atoms are Re at (0.000, 0.000, 0.500), Rh at (0.000, 0.000, 0.000) and F at (0.500, 0.500, 0.500).



Record 22
Here is a relaxed Re3RhF crystal from the Alexandria database. Energies are from GGA-PBE.

For the uncorrected formation energy, the calculation gives 28.51 kcal/mol of atoms. Its raw total energy is -8.0772 eV/atom.

The structure belongs to space group Pm-3m (No. 221); the cell edges are 4.159, 4.159 and 4.159 Å and the angles 90.00°, 90.00° and 90.00°. The inequivalent atoms are Re at (0.000, 0.000, 0.500), Rh at (0.500, 0.500, 0.500) and F at (0.000, 0.000, 0.000).



Record 23
Here is a relaxed TiRe2RhF crystal from the Alexandria database. Energies are from GGA-PBE.

For the uncorrected formation energy, the calculation gives 35.11 kcal/mol of atoms. Its raw total energy is -6.8804 eV/atom.

The structure belongs to space group P4/mmm (No. 123); the cell edges are 4.709, 4.709 and 4.854 Å and the angles 90.00°, 90.00° and 90.00°. The inequivalent atoms are Ti at (0.000, 0.000, 0.000), Re at (0.000, 0.500, 0.500), Rh at (0.000, 0.000, 0.500) and F at (0.500, 0.500, 0.000).



Record 24
Here is a relaxed YReRhF2 crystal from the Alexandria database. Energies are from GGA-PBE.

For the uncorrected formation energy, the calculation gives -19.89 kcal/mol of atoms. Its raw total energy is -6.8638 eV/atom.

The structure belongs to space group P4/mmm (No. 123); the cell edges are 4.021, 4.021 and 6.444 Å and the angles 90.00°, 90.00° and 90.00°. The inequivalent atoms are Y at (0.000, 0.000, 0.000), Re at (0.000, 0.000, 0.500), Rh at (0.500, 0.500, 0.500) and F at (0.000, 0.500, 0.000).



Record 25
Here is a relaxed ZrReRhF2 crystal from the Alexandria database. Energies are from GGA-PBE.

For the uncorrected formation energy, the calculation gives -5.72 kcal/mol of atoms. Its raw total energy is -6.6661 eV/atom.

The structure belongs to space group P4/mmm (No. 123); the cell edges are 3.901, 3.901 and 5.804 Å and the angles 90.00°, 90.00° and 90.00°. The inequivalent atoms are Zr at (0.000, 0.000, 0.000), Re at (0.000, 0.000, 0.500), Rh at (0.500, 0.500, 0.000) and F at (0.000, 0.500, 0.500).



Record 26
Here is a relaxed ZrReRh2F crystal from the Alexandria database. Energies are from GGA-PBE.

For the uncorrected formation energy, the calculation gives 2.34 kcal/mol of atoms. Its raw total energy is -7.4127 eV/atom.

The structure belongs to space group P4/mmm (No. 123); the cell edges are 4.794, 4.794 and 3.919 Å and the angles 90.00°, 90.00° and 90.00°. The inequivalent atoms are Zr at (0.000, 0.000, 0.000), Re at (0.500, 0.500, 0.500), Rh at (0.000, 0.500, 0.500) and F at (0.500, 0.500, 0.000).